No. 1
## Dy6Sb2AsSe3 (GGA-PBE)

Data for a relaxed Dy6Sb2AsSe3 crystal.

The structure in POSCAR format:
```
Dy6Sb2AsSe3
1.0
9.143 -2.096 0.000
9.143 2.096 0.000
-1.873 0.000 8.173
Dy Sb As Se
6 2 1 3
Direct
0.002 0.002 0.264
0.338 0.338 0.909
0.339 0.339 0.427
0.661 0.661 0.573
0.662 0.662 0.091
0.998 0.998 0.736
0.167 0.167 0.835
0.833 0.833 0.165
0.500 0.500 0.500
0.169 0.169 0.336
0.500 0.500 0.000
0.831 0.831 0.664
```

Output
calculated volume: 313 Å³/f.u.
theoretical density: 8.11 g/cm3
formation energy (no corrections): -1.5247 eV/atom
space-group type: No. 12

=====

No. 2
## Dy6SbAs3Se2 (GGA-PBE)

Data for a relaxed Dy6SbAs3Se2 crystal.

The structure in POSCAR format:
```
Dy6SbAs3Se2
1.0
9.067 -2.075 0.000
9.067 2.075 0.000
-1.962 0.000 8.091
Dy Sb As Se
6 1 3 2
Direct
0.002 0.002 0.238
0.328 0.328 0.422
0.336 0.336 0.910
0.664 0.664 0.090
0.672 0.672 0.578
0.998 0.998 0.762
0.500 0.500 0.500
0.166 0.166 0.332
0.500 0.500 0.000
0.834 0.834 0.668
0.169 0.169 0.836
0.831 0.831 0.164
```

Output
calculated volume: 305 Å³/f.u.
theoretical density: 8.07 g/cm3
formation energy (no corrections): -1.5820 eV/atom
space-group type: No. 12

=====

No. 3
## Dy6Sb2As3Se (GGA-PBE)

Data for a relaxed Dy6Sb2As3Se crystal.

The structure in POSCAR format:
```
Dy6Sb2As3Se
1.0
9.168 -2.096 0.000
9.168 2.096 0.000
-1.987 0.000 8.202
Dy Sb As Se
6 2 3 1
Direct
0.004 0.004 0.244
0.332 0.332 0.428
0.338 0.338 0.907
0.662 0.662 0.093
0.668 0.668 0.572
0.996 0.996 0.756
0.166 0.166 0.832
0.834 0.834 0.168
0.166 0.166 0.335
0.500 0.500 0.000
0.834 0.834 0.665
0.500 0.500 0.500
```

Output
calculated volume: 315 Å³/f.u.
theoretical density: 8.02 g/cm3
formation energy (no corrections): -1.4569 eV/atom
space-group type: No. 12

=====

No. 4
## TbDySbAs (GGA-PBE)

Data for a relaxed TbDySbAs crystal.

The structure in POSCAR format:
```
TbDySbAs
1.0
4.267 0.000 0.000
0.000 4.267 0.000
0.000 0.000 6.045
Tb Dy Sb As
1 1 1 1
Direct
0.000 0.000 0.000
0.500 0.500 0.500
0.000 0.000 0.500
0.500 0.500 0.000
```

Output
calculated volume: 110 Å³/f.u.
theoretical density: 7.82 g/cm3
formation energy (no corrections): -1.2873 eV/atom
space-group type: No. 123

=====

No. 5
## Dy8SbTe4As3 (GGA-PBE)

Data for a relaxed Dy8SbTe4As3 crystal.

The structure in POSCAR format:
```
Dy8SbTe4As3
1.0
4.247 2.452 7.085
-4.247 2.452 7.085
0.000 -4.903 7.085
Dy Sb Te As
8 1 4 3
Direct
0.229 0.747 0.747
0.239 0.239 0.239
0.253 0.253 0.771
0.253 0.771 0.253
0.747 0.229 0.747
0.747 0.747 0.229
0.761 0.761 0.761
0.771 0.253 0.253
0.500 0.500 0.500
0.000 0.000 0.000
0.000 0.500 0.500
0.500 0.000 0.500
0.500 0.500 0.000
0.000 0.000 0.500
0.000 0.500 0.000
0.500 0.000 0.000
```

Output
calculated volume: 443 Å³/f.u.
theoretical density: 8.09 g/cm3
formation energy (no corrections): -1.4242 eV/atom
space-group type: No. 166

=====

No. 6
## Dy4SbTeAs2 (GGA-PBE)

Data for a relaxed Dy4SbTeAs2 crystal.

The structure in POSCAR format:
```
Dy4SbTeAs2
1.0
7.317 0.000 0.000
0.000 4.222 0.000
-2.425 0.000 6.996
Dy Sb Te As
4 1 1 2
Direct
0.238 0.000 0.226
0.253 0.500 0.771
0.747 0.500 0.229
0.762 0.000 0.774
0.000 0.000 0.500
0.500 0.500 0.500
0.000 0.500 0.000
0.500 0.000 0.000
```

Output
calculated volume: 216 Å³/f.u.
theoretical density: 8.06 g/cm3
formation energy (no corrections): -1.4224 eV/atom
space-group type: No. 10

=====

No. 7
## Dy8Sb3Te4As (GGA-PBE)

Data for a relaxed Dy8Sb3Te4As crystal.

The structure in POSCAR format:
```
Dy8Sb3Te4As
1.0
4.336 2.503 7.126
-4.336 2.503 7.126
0.000 -5.007 7.126
Dy Sb Te As
8 3 4 1
Direct
0.246 0.246 0.246
0.257 0.737 0.737
0.263 0.263 0.743
0.263 0.743 0.263
0.737 0.257 0.737
0.737 0.737 0.257
0.743 0.263 0.263
0.754 0.754 0.754
0.000 0.000 0.500
0.000 0.500 0.000
0.500 0.000 0.000
0.000 0.000 0.000
0.000 0.500 0.500
0.500 0.000 0.500
0.500 0.500 0.000
0.500 0.500 0.500
```

Output
calculated volume: 464 Å³/f.u.
theoretical density: 8.05 g/cm3
formation energy (no corrections): -1.3052 eV/atom
space-group type: No. 166

=====

No. 8
## Dy4Sb2TeAs (GGA-PBE)

Data for a relaxed Dy4Sb2TeAs crystal.

The structure in POSCAR format:
```
Dy4Sb2TeAs
1.0
7.459 0.000 0.000
0.000 4.306 0.000
-2.474 0.000 7.063
Dy Sb Te As
4 2 1 1
Direct
0.240 0.000 0.235
0.249 0.500 0.762
0.751 0.500 0.238
0.760 0.000 0.765
0.500 0.000 0.000
0.500 0.500 0.500
0.000 0.000 0.500
0.000 0.500 0.000
```

Output
calculated volume: 227 Å³/f.u.
theoretical density: 8.02 g/cm3
formation energy (no corrections): -1.2948 eV/atom
space-group type: No. 10

=====

No. 9
## Dy4SbTe2As (GGA-PBE)

Data for a relaxed Dy4SbTe2As crystal.

The structure in POSCAR format:
```
Dy4SbTe2As
1.0
7.454 0.000 0.000
0.000 4.285 0.000
-2.474 0.000 7.103
Dy Sb Te As
4 1 2 1
Direct
0.229 0.000 0.223
0.243 0.500 0.770
0.757 0.500 0.230
0.771 0.000 0.777
0.500 0.000 0.000
0.000 0.000 0.500
0.500 0.500 0.500
0.000 0.500 0.000
```

Output
calculated volume: 227 Å³/f.u.
theoretical density: 8.07 g/cm3
formation energy (no corrections): -1.3613 eV/atom
space-group type: No. 10

=====

No. 10
## Dy4ScAs5 (GGA-PBE)

Data for a relaxed Dy4ScAs5 crystal.

The structure in POSCAR format:
```
Dy4ScAs5
1.0
-4.554 4.554 2.887
4.554 -4.554 2.887
4.554 4.554 -2.887
Dy Sc As
4 1 5
Direct
0.098 0.700 0.798
0.300 0.098 0.398
0.700 0.902 0.602
0.902 0.300 0.202
0.500 0.500 0.000
0.000 0.000 0.000
0.207 0.402 0.609
0.402 0.793 0.195
0.598 0.207 0.805
0.793 0.598 0.391
```

Output
calculated volume: 239 Å³/f.u.
theoretical density: 7.42 g/cm3
ΔE_f: -1489.3 meV/atom
space-group type: No. 87

=====

No. 11
## DyScAs (GGA-PBE)

Data for a relaxed DyScAs crystal.

The structure in POSCAR format:
```
DyScAs
1.0
7.581 0.000 0.000
-3.791 6.565 0.000
0.000 0.000 4.017
Dy Sc As
3 3 3
Direct
0.000 0.595 0.000
0.405 0.405 0.000
0.595 0.000 0.000
0.000 0.251 0.500
0.251 0.000 0.500
0.749 0.749 0.500
0.000 0.000 0.000
0.333 0.667 0.500
0.667 0.333 0.500
```

Output
calculated volume: 67 Å³/f.u.
theoretical density: 7.04 g/cm3
ΔE_f: -994.3 meV/atom
space-group type: No. 189

=====

No. 12
## DySc5As6 (GGA-PBE)

Data for a relaxed DySc5As6 crystal.

The structure in POSCAR format:
```
DySc5As6
1.0
3.398 -5.885 0.000
3.398 5.885 0.000
-2.270 0.000 6.404
Dy Sc As
1 5 6
Direct
0.000 0.000 0.000
0.164 0.836 0.500
0.333 0.667 0.000
0.500 0.500 0.500
0.667 0.333 0.000
0.836 0.164 0.500
0.085 0.427 0.256
0.257 0.257 0.746
0.427 0.085 0.256
0.573 0.915 0.744
0.743 0.743 0.254
0.915 0.573 0.744
```

Output
calculated volume: 256 Å³/f.u.
theoretical density: 5.43 g/cm3
ΔE_f: -1392.2 meV/atom
space-group type: No. 12